Record 1
A relaxed Rb3AgBr2 crystal, computed with PBE-GGA.

Summary:
- Total magnetization: 0.0 μB/f.u.
- VASP energy: -2.60 eV per atom
- Energy relative to the elements, uncorrected: -1.083 eV per atom
- Space-group type: No. 42

Geometry as POSCAR:
```
Rb3AgBr2
1.0
0.0000 10.2689 3.6963
3.6963 0.0000 3.6963
3.6963 10.2689 0.0000
Rb Ag Br
3 1 2
Cartesian
0.0000 0.0000 0.0000
3.6963 6.7867 3.7015
3.6963 13.7511 3.7015
3.6963 10.2689 3.6960
3.6963 3.4211 3.7009
3.6963 17.1167 3.7009
```



Record 2
A relaxed TaMoAu2 crystal, computed with PBE-GGA.

Summary:
- Total magnetization: 0.0 μB/f.u.
- Excess energy over the best structure of this formula in the dataset: 0.071 eV per atom
- VASP energy: -7.21 eV per atom
- Space-group type: No. 25
- Formation energy from the elements: 0.099 eV/atom

Geometry as POSCAR:
```
TaMoAu2
1.0
2.8949 0.0000 0.0000
0.0000 4.6483 0.0000
0.0000 0.0000 5.0961
Ta Mo Au
1 1 2
Cartesian
0.0000 0.0000 0.0000
0.0000 2.3242 1.5721
1.4474 0.0000 2.5194
1.4474 2.3242 4.1315
```